The following is a PBE calculation of a relaxed structure of Tc2SbIr, from the Alexandria database.

a b c (Å): 2.971 2.971 7.228
angles (deg): 90.00 90.00 90.00
Element x y z (fractional)
Sb  0.500  0.500  0.750
Ir  0.500  0.500  0.250
Tc  0.000  0.000  0.003
Tc  0.000  0.000  0.497

Summary:
**Magnetic moment**: 0.000 μB/atom
**Total energy**: -8.151 eV/atom